# YMn3N | the Alexandria database | GGA-PBE | optimized geometry
# Uncorrected energy = -5.80 eV per atom
# Formation energy from raw total energies = 2655 meV/atom
# E above lowest polymorph = 2697 meV/atom
# Spin magnetization = 9.3 μB/f.u.
data_YMn3N
_cell_length_a 5.212
_cell_length_b 5.212
_cell_length_c 5.212
_cell_angle_alpha 90.00
_cell_angle_beta 90.00
_cell_angle_gamma 90.00
_space_group_name_H-M_alt 'P m -3 m'
_space_group_IT_number 221
_space_group_name_Hall '-P 4 2 3'
loop_
_atom_site_label
_atom_site_fract_x
_atom_site_fract_y
_atom_site_fract_z
_atom_site_occupancy
Y1 0.000 0.000 0.000 1
Mn1 0.000 0.000 0.500 1
N1 0.500 0.500 0.500 1